Entry 1:
! GGA-PBE CdTeHN2, relaxed; values from VASP
&SYSTEM
  ibrav = 0, nat = 5, ntyp = 4
/
ATOMIC_SPECIES
Cd 112.41 Cd.upf
Te 127.60 Te.upf
H 1.01 H.upf
N 14.01 N.upf
CELL_PARAMETERS angstrom
4.346 0.000 0.000
0.000 4.346 0.000
0.000 0.000 3.491
ATOMIC_POSITIONS crystal
Cd 0.000 0.000 0.000
Te 0.500 0.500 0.000
H 0.500 0.500 0.500
N 0.000 0.500 0.500
N 0.500 0.000 0.500
! **DOS at the Fermi energy**: 1.91 states/eV/f.u.
! **Uncorrected energy**: -15.1 eV/cell
! **Symmetry**: P4/mmm (123)



Entry 2:
! GGA-PBE TiCdH2N, relaxed; values from VASP
&SYSTEM
  ibrav = 0, nat = 5, ntyp = 4
/
ATOMIC_SPECIES
Ti 47.87 Ti.upf
Cd 112.41 Cd.upf
H 1.01 H.upf
N 14.01 N.upf
CELL_PARAMETERS angstrom
3.400 0.000 0.000
0.000 3.400 0.000
0.000 0.000 6.032
ATOMIC_POSITIONS crystal
Ti 0.000 0.000 0.000
Cd 0.000 0.000 0.500
H 0.000 0.500 0.000
H 0.500 0.000 0.000
N 0.500 0.500 0.500
! **DOS at the Fermi energy**: 3.50 states/eV/f.u.
! **Uncorrected energy**: -19.6 eV/cell
! **Symmetry**: P4/mmm (123)



Entry 3:
! GGA-PBE Ti6Cd2HN, relaxed; values from VASP
&SYSTEM
  ibrav = 0, nat = 10, ntyp = 4
/
ATOMIC_SPECIES
Ti 47.87 Ti.upf
Cd 112.41 Cd.upf
H 1.01 H.upf
N 14.01 N.upf
CELL_PARAMETERS angstrom
-2.958 2.958 4.178
2.958 -2.958 4.178
2.958 2.958 -4.178
ATOMIC_POSITIONS crystal
Ti 0.247 0.247 0.000
Ti 0.248 0.248 0.495
Ti 0.248 0.752 0.000
Ti 0.752 0.248 0.000
Ti 0.752 0.752 0.505
Ti 0.753 0.753 0.000
Cd 0.250 0.750 0.500
Cd 0.750 0.250 0.500
H 0.000 0.000 0.000
N 0.500 0.500 0.000
! **DOS at the Fermi energy**: 13.93 states/eV/f.u.
! **Uncorrected energy**: -65.3 eV/cell
! **Symmetry**: I4/mmm (139)



Entry 4:
! GGA-PBE VCd2HN, relaxed; values from VASP
&SYSTEM
  ibrav = 0, nat = 5, ntyp = 4
/
ATOMIC_SPECIES
V 50.94 V.upf
Cd 112.41 Cd.upf
H 1.01 H.upf
N 14.01 N.upf
CELL_PARAMETERS angstrom
5.045 0.000 0.000
0.000 5.045 0.000
0.000 0.000 2.728
ATOMIC_POSITIONS crystal
V 0.000 0.000 0.000
Cd 0.000 0.500 0.500
Cd 0.500 0.000 0.500
H 0.500 0.500 0.000
N 0.500 0.500 0.500
! **DOS at the Fermi energy**: 3.91 states/eV/f.u.
! **Uncorrected energy**: -18.4 eV/cell
! **Symmetry**: P4/mmm (123)



Entry 5:
! GGA-PBE Zr6Cd2HN, relaxed; values from VASP
&SYSTEM
  ibrav = 0, nat = 10, ntyp = 4
/
ATOMIC_SPECIES
Zr 91.22 Zr.upf
Cd 112.41 Cd.upf
H 1.01 H.upf
N 14.01 N.upf
CELL_PARAMETERS angstrom
0.000 4.512 4.512
4.512 0.000 4.512
4.512 4.512 0.000
ATOMIC_POSITIONS crystal
Zr 0.248 0.248 0.752
Zr 0.248 0.752 0.248
Zr 0.248 0.752 0.752
Zr 0.752 0.248 0.248
Zr 0.752 0.248 0.752
Zr 0.752 0.752 0.248
Cd 0.250 0.250 0.250
Cd 0.750 0.750 0.750
H 0.000 0.000 0.000
N 0.500 0.500 0.500
! **DOS at the Fermi energy**: 9.63 states/eV/f.u.
! **Uncorrected energy**: -69.5 eV/cell
! **Symmetry**: Fm-3m (225)



Entry 6:
! GGA-PBE NaCd3H, relaxed; values from VASP
&SYSTEM
  ibrav = 0, nat = 5, ntyp = 3
/
ATOMIC_SPECIES
Na 22.99 Na.upf
Cd 112.41 Cd.upf
H 1.01 H.upf
CELL_PARAMETERS angstrom
4.660 0.000 0.000
0.000 4.660 0.000
0.000 0.000 4.660
ATOMIC_POSITIONS crystal
Na 0.000 0.000 0.000
Cd 0.000 0.500 0.500
Cd 0.500 0.000 0.500
Cd 0.500 0.500 0.000
H 0.500 0.500 0.500
! **DOS at the Fermi energy**: 1.71 states/eV/f.u.
! **Uncorrected energy**: -6.4 eV/cell
! **Symmetry**: Pm-3m (221)